The following is a DFT calculation (GGA-PBE) of crystalline BPS at its relaxed geometry.

Unit cell a=4.3619 b=4.4898 c=7.1214 alpha=71.69 beta=78.72 gamma=65.31
With the nearest neighbours (Å) after each atom.
Sites, in units of the cell vectors:
P (0.9029, 0.6806, 0.1794)  2 B 1.99-2.09, 1 S 2.11, 1 P 2.18
P (0.6367, 0.5092, 0.0324)  1 B 2.02, 1 S 2.14, 1 P 2.18
B (0.3766, 0.3583, 0.2868)  1 B 1.72
B (0.4947, 0.9256, 0.3341)  1 B 1.72, 1 S 1.80
S (0.0354, 0.0651, 0.9658)  2 P 2.11-2.14
S (0.3203, 0.6157, 0.4774)  2 B 1.80-1.96

Summary:
distance to the lowest polymorph of the same formula	50	meV/atom
volume	120	Å³/cell
ΔE_f (raw)	-0.01	eV/f.u.
density	2.04	Mg/m³

=====

The following is a DFT calculation (GGA-PBE) of crystalline BPS3 at its relaxed geometry.

Unit cell a=4.1361 b=4.1361 c=4.1361 alpha=90.00 beta=90.00 gamma=90.00
With the nearest neighbours (Å) after each atom.
Sites, in units of the cell vectors:
P (0.5000, 0.5000, 0.5000)  12 S 2.92
S (0.0000, 0.5000, 0.0000)  2 B 2.07
S (0.5000, 0.0000, 0.0000)  2 B 2.07
S (0.0000, 0.0000, 0.5000)  2 B 2.07
B (0.0000, 0.0000, 0.0000)  6 S 2.07

Summary:
distance to the lowest polymorph of the same formula	1084	meV/atom
volume	71	Å³/cell
ΔE_f (raw)	4.57	eV/f.u.
density	3.24	Mg/m³

=====

The following is a DFT calculation (GGA-PBE) of crystalline BP2S8 at its relaxed geometry.

Unit cell a=6.8285 b=8.1810 c=8.1810 alpha=68.51 beta=62.43 gamma=62.43
With the nearest neighbours (Å) after each atom.
Sites, in units of the cell vectors:
S (0.2330, 0.8559, 0.8559)  1 B 1.69
S (0.6448, 0.0971, 0.7274)  1 S 2.07, 1 P 2.13
S (0.3552, 0.2726, 0.9029)  1 S 2.07, 1 P 2.13
S (0.3552, 0.9029, 0.2726)  1 S 2.07, 1 P 2.13
S (0.7670, 0.1441, 0.1441)  1 B 1.69
S (0.1360, 0.3360, 0.3360)  1 P 1.93
S (0.8640, 0.6640, 0.6640)  1 P 1.93
S (0.6448, 0.7274, 0.0971)  1 S 2.07, 1 P 2.13
P (0.3944, 0.1693, 0.1693)  3 S 1.93-2.13
P (0.6056, 0.8307, 0.8307)  3 S 1.93-2.13
B (0.0000, 0.0000, 0.0000)  2 S 1.69

Summary:
volume	352	Å³/cell
ΔE_f (raw)	0.19	eV/f.u.
density	1.55	Mg/m³

=====

The following is a DFT calculation (GGA-PBE) of crystalline BPS at its relaxed geometry.

Unit cell a=11.0575 b=3.1705 c=5.6095 alpha=90.00 beta=102.15 gamma=90.00
With the nearest neighbours (Å) after each atom.
Sites, in units of the cell vectors:
S (0.5180, 0.0000, 0.2868)  3 B 2.01-2.04
S (0.1400, 0.5000, 0.9981)  2 P 2.20
S (0.5180, 0.5000, 0.7868)  3 B 2.01-2.04
S (0.1400, 0.0000, 0.4981)  2 P 2.20
P (0.0156, 0.5000, 0.5721)  2 S 2.20
P (0.0156, 0.0000, 0.0721)  2 S 2.20
P (0.8156, 0.5000, 0.2426)  3 B 1.96-1.98
P (0.8156, 0.0000, 0.7426)  3 B 1.96-1.98
B (0.7535, 0.0000, 0.0495)  1 B 1.73
B (0.7535, 0.5000, 0.5495)  1 B 1.73
B (0.5939, 0.5000, 0.4844)  1 B 1.73
B (0.5939, 0.0000, 0.9844)  1 B 1.73

Summary:
distance to the lowest polymorph of the same formula	36	meV/atom
volume	192	Å³/cell
ΔE_f (raw)	-0.06	eV/f.u.
density	2.55	Mg/m³

=====

The following is a DFT calculation (GGA-PBE) of crystalline BP2S2 at its relaxed geometry.

Unit cell a=4.0864 b=4.0864 c=4.1804 alpha=90.00 beta=90.00 gamma=90.00
With the nearest neighbours (Å) after each atom.
Sites, in units of the cell vectors:
P (0.5000, 0.5000, 0.5000)  4 P 2.89, 8 S 2.92
P (0.0000, 0.0000, 0.5000)  2 B 2.09
S (0.0000, 0.5000, 0.0000)  2 B 2.04
S (0.5000, 0.0000, 0.0000)  2 B 2.04
B (0.0000, 0.0000, 0.0000)  4 S 2.04, 2 P 2.09

Summary:
distance to the lowest polymorph of the same formula	0	meV/atom
volume	70	Å³/cell
ΔE_f (raw)	4.65	eV/f.u.
density	3.26	Mg/m³

=====

The following is a DFT calculation (GGA-PBE) of crystalline BP2S4 at its relaxed geometry.

Unit cell a=5.9573 b=5.9573 c=5.6248 alpha=121.98 beta=121.98 gamma=90.00
With the nearest neighbours (Å) after each atom.
Sites, in units of the cell vectors:
B (0.5000, 0.5000, 0.0000)  4 S 1.96
S (0.4299, 0.8323, 0.2621)  1 B 1.96
S (0.8323, 0.4299, 0.2621)  1 B 1.96
S (0.1677, 0.1677, 0.7379)  1 B 1.96
S (0.5701, 0.5701, 0.7379)  1 B 1.96
P (0.2500, 0.7500, 0.5000)  4 S 2.32
P (0.7500, 0.2500, 0.5000)  4 S 2.32

Summary:
volume	132	Å³/cell
ΔE_f (raw)	0.88	eV/f.u.
density	2.52	Mg/m³

=====

The following is a DFT calculation (GGA-PBE) of crystalline BPS at its relaxed geometry.

Unit cell a=3.3353 b=3.3484 c=4.6647 alpha=70.96 beta=70.07 gamma=60.81
With the nearest neighbours (Å) after each atom.
Sites, in units of the cell vectors:
S (0.3898, 0.8176, 0.8890)  1 B 1.90
P (0.0057, 0.6432, 0.3441)  3 B 2.02-2.05, 1 S 2.13
B (0.2877, 0.9386, 0.4862)  1 S 1.90, 3 P 2.02-2.05

Summary:
distance to the lowest polymorph of the same formula	56	meV/atom
volume	42	Å³/cell
ΔE_f (raw)	0.01	eV/f.u.
density	2.92	Mg/m³

=====

The following is a DFT calculation (GGA-PBE) of crystalline B3PS at its relaxed geometry.

Unit cell a=3.9224 b=3.9224 c=3.9224 alpha=90.00 beta=90.00 gamma=90.00
With the nearest neighbours (Å) after each atom.
Sites, in units of the cell vectors:
P (0.0000, 0.0000, 0.0000)  6 B 1.96
B (0.5000, 0.0000, 0.0000)  2 P 1.96
B (0.0000, 0.5000, 0.0000)  2 P 1.96
B (0.0000, 0.0000, 0.5000)  2 P 1.96
S (0.5000, 0.5000, 0.5000)  12 B 2.77

Summary:
distance to the lowest polymorph of the same formula	0	meV/atom
volume	60	Å³/cell
ΔE_f (raw)	7.36	eV/f.u.
density	2.63	Mg/m³